A plane-wave DFT calculation with PBE with a Hubbard U was carried out for Li4Mn3Cr3Ni2O16 after structural relaxation.

Computed properties:
- raw total energy (eV/cell) = -363.43

Lattice parameters (Å, degrees): 10.0841 5.8201 9.6345 90.00 90.16 90.00
Closest atoms and distances in Å follow each position.
Space group Cm (No. 8)
Asymmetric unit:
Li  0.0000  0.0000  0.0000 (multiplicity 2)  4 O 1.78-1.93
Li  0.0021  0.0000  0.5001 (multiplicity 2)  4 O 1.77-1.92
Li  0.1668  0.5000  0.6050 (multiplicity 2)  4 O 1.95-2.06
Li  0.3332  0.0000  0.1051 (multiplicity 2)  4 O 1.95-2.04
Mn  0.0866  0.2533  0.2828 (multiplicity 4)  6 O 1.93-1.97
Mn  0.1716  0.0000  0.7827 (multiplicity 2)  6 O 1.92-1.98
Cr  0.3343  0.5000  0.2854 (multiplicity 2)  6 O 1.92-2.00
Cr  0.4189  0.2472  0.7844 (multiplicity 4)  6 O 1.92-1.99
Ni  0.1680  0.5000  0.0099 (multiplicity 2)  6 O 2.10-2.15
Ni  0.3341  0.0000  0.5085 (multiplicity 2)  6 O 2.08-2.17
O  0.0056  0.0000  0.1849 (multiplicity 2)  1 Li 1.78, 2 Mn 1.93, 1 Cr 1.98
O  0.0061  0.0000  0.6839 (multiplicity 2)  1 Li 1.77, 1 Mn 1.92, 2 Cr 1.97
O  0.0194  0.5000  0.1664 (multiplicity 2)  2 Mn 1.94, 1 Li 1.97, 1 Ni 2.13
O  0.0794  0.2392  0.8912 (multiplicity 4)  1 Cr 1.92, 1 Li 1.92, 1 Mn 1.98, 1 Ni 2.10
O  0.1601  0.0000  0.3921 (multiplicity 2)  1 Li 1.90, 2 Mn 1.96, 1 Ni 2.08
O  0.1642  0.5000  0.3911 (multiplicity 2)  2 Mn 1.94, 1 Cr 2.00, 1 Li 2.06
O  0.2433  0.2774  0.1698 (multiplicity 4)  1 Mn 1.93, 1 Cr 1.94, 1 Li 1.95, 1 Ni 2.15
O  0.2615  0.2235  0.6680 (multiplicity 4)  1 Mn 1.93, 1 Cr 1.95, 1 Li 1.97, 1 Ni 2.14
O  0.3313  0.0000  0.8931 (multiplicity 2)  1 Mn 1.93, 2 Cr 1.99, 1 Li 2.04
O  0.3413  0.5000  0.8883 (multiplicity 2)  1 Li 1.93, 2 Cr 1.94, 1 Ni 2.11
O  0.4208  0.2624  0.3900 (multiplicity 4)  1 Cr 1.92, 1 Li 1.92, 1 Mn 1.97, 1 Ni 2.10
O  0.4836  0.0000  0.6705 (multiplicity 2)  2 Cr 1.92, 1 Li 1.95